1.
The following is a PBE calculation of a geometry-optimized NdZn12Pd6 structure, from the Alexandria database.

POSCAR file:
```
NdZn12Pd6
1.0
-2.308 -1.875 -6.522
2.386 -6.094 2.923
-5.952 1.585 3.666
Pd Zn Nd
6 12 1
Cartesian
-3.251 -3.801 2.806 Pd
-0.639 -4.368 1.255 Pd
-5.236 -2.017 -1.188 Pd
-2.624 -2.584 -2.739 Pd
-4.165 -1.121 1.569 Pd
-1.710 -5.264 -1.502 Pd
-5.114 -3.483 0.985 Zn
-0.761 -2.901 -0.918 Zn
-1.699 -2.010 1.706 Zn
-4.354 -1.847 3.994 Zn
-6.179 -0.207 0.322 Zn
-4.175 -4.374 -1.639 Zn
-4.762 -1.552 -3.638 Zn
0.304 -6.178 -0.255 Zn
-1.112 -4.833 3.705 Zn
-2.966 -5.461 0.794 Zn
-1.521 -4.537 -3.927 Zn
-2.908 -0.923 -0.727 Zn
0.000 0.000 0.000 Nd
```

## Properties
Mass density: 8.06 g/cm³
Calculated formation energy: -0.34 eV/atom
Crystal system: trigonal
Raw total energy: -0.111 hartree per atom
Total magnetization: 0.000 μB per atom


2.
The following is a PBE calculation of a geometry-optimized Nd2ZnPd structure, from the Alexandria database.

POSCAR file:
```
Nd2ZnPd
1.0
-0.452 3.826 1.722
-3.445 2.293 -0.828
-5.622 -1.791 7.673
Pd Nd Zn
1 2 1
Cartesian
-4.759 2.164 4.284 Pd
-4.168 -0.502 5.192 Nd
-5.351 4.831 3.375 Nd
0.000 0.000 0.000 Zn
```

## Properties
Mass density: 5.29 g/cm³
Calculated formation energy: -0.03 eV/atom
Crystal system: trigonal
Raw total energy: -0.148 hartree per atom
Total magnetization: 0.000 μB per atom


3.
The following is a PBE calculation of a geometry-optimized NdZn4Pd structure, from the Alexandria database.

POSCAR file:
```
NdZn4Pd
1.0
5.297 0.000 0.000
2.648 4.587 0.000
2.648 1.529 4.325
Zn Pd Nd
4 1 1
Cartesian
3.958 3.831 2.709 Zn
6.635 3.831 2.709 Zn
5.297 3.058 0.523 Zn
5.297 1.512 2.709 Zn
0.000 0.000 0.000 Pd
2.648 1.529 1.081 Nd
```

## Properties
Offset from the most stable computed form: 42 meV/atom
Mass density: 8.10 g/cm³
Calculated formation energy: -0.35 eV/atom
Crystal system: cubic
Raw total energy: -0.105 hartree per atom
Total magnetization: 0.000 μB per atom


4.
The following is a PBE calculation of a geometry-optimized NdZn6Pd4 structure, from the Alexandria database.

POSCAR file:
```
NdZn6Pd4
1.0
4.114 0.000 0.000
0.000 7.281 0.000
0.000 -3.640 6.306
Zn Nd Pd
6 1 4
Cartesian
2.057 1.422 5.025 Zn
0.000 2.219 2.922 Zn
2.057 -1.422 5.025 Zn
2.057 0.000 2.562 Zn
0.000 5.062 2.922 Zn
0.000 3.640 0.461 Zn
0.000 0.000 0.000 Nd
2.057 2.190 1.265 Pd
2.057 3.640 3.776 Pd
2.057 5.091 1.265 Pd
0.000 0.000 4.204 Pd
```

## Properties
Mass density: 8.46 g/cm³
Calculated formation energy: -0.47 eV/atom
Crystal system: hexagonal
Raw total energy: -0.128 hartree per atom
Total magnetization: 0.000 μB per atom


5.
The following is a PBE calculation of a geometry-optimized Nd6ZnPd2 structure, from the Alexandria database.

POSCAR file:
```
Nd6ZnPd2
1.0
0.010 6.736 5.605
-6.715 0.264 -5.625
-0.878 -7.540 4.379
Nd Pd Zn
12 4 2
Cartesian
-4.973 4.890 1.745 Nd
-5.545 -2.367 2.606 Nd
-2.003 -1.914 1.585 Nd
-7.104 -2.782 -0.842 Nd
-0.479 2.242 5.201 Nd
-4.510 -0.296 -0.416 Nd
-5.580 1.374 2.774 Nd
-2.611 -5.430 2.614 Nd
-5.918 -5.666 0.942 Nd
-1.665 5.126 3.417 Nd
-3.074 -0.244 4.775 Nd
-2.038 1.827 1.753 Nd
-3.237 -3.088 4.532 Pd
-0.299 -0.277 3.434 Pd
-4.346 2.548 -0.173 Pd
-0.570 -0.527 6.550 Pd
-3.796 -3.638 -0.623 Zn
0.000 0.000 0.000 Zn
```

## Properties
Mass density: 7.36 g/cm³
Calculated formation energy: -0.40 eV/atom
Crystal system: orthorhombic
Raw total energy: -0.179 hartree per atom
Total magnetization: 0.000 μB per atom


6.
The following is a PBE calculation of a geometry-optimized Nd5Zn4Pd structure, from the Alexandria database.

POSCAR file:
```
Nd5Zn4Pd
1.0
-1.275 2.264 2.626
-2.923 -2.208 0.485
9.188 -9.403 12.566
Nd Zn Pd
5 4 1
Cartesian
4.353 -6.575 10.380 Nd
0.637 -2.772 5.298 Nd
2.495 -4.673 7.839 Nd
-1.220 -0.871 2.757 Nd
6.211 -8.476 12.920 Nd
3.658 -3.743 5.002 Zn
5.530 -5.660 7.564 Zn
1.829 -1.872 2.502 Zn
7.359 -7.531 10.064 Zn
0.000 0.000 0.000 Pd
```

## Properties
Mass density: 7.29 g/cm³
Calculated formation energy: -0.40 eV/atom
Crystal system: tetragonal
Raw total energy: -0.140 hartree per atom
Total magnetization: 0.000 μB per atom


7.
The following is a PBE calculation of a geometry-optimized Nd4ZnPd structure, from the Alexandria database.

POSCAR file:
```
Nd4ZnPd
1.0
8.560 0.000 4.942
2.853 8.070 4.942
0.000 0.000 9.884
Nd Zn Pd
16 4 4
Cartesian
2.116 1.496 9.884 Nd
7.502 1.496 12.994 Nd
5.707 6.615 9.884 Nd
4.490 3.175 7.777 Nd
9.297 6.574 9.884 Nd
3.911 6.574 6.774 Nd
7.449 7.623 12.903 Nd
7.449 7.623 16.750 Nd
10.781 7.623 14.826 Nd
8.139 3.175 9.884 Nd
6.339 4.482 14.826 Nd
3.911 6.574 12.994 Nd
9.670 4.482 16.750 Nd
9.670 4.482 12.903 Nd
4.490 3.175 11.991 Nd
7.502 1.496 6.774 Nd
1.945 1.375 6.516 Zn
4.670 1.375 4.942 Zn
2.853 3.945 4.942 Zn
1.945 1.375 3.368 Zn
6.902 4.880 11.954 Pd
6.902 4.880 7.814 Pd
5.707 1.500 9.884 Pd
3.316 4.880 9.884 Pd
```

## Properties
Offset from the most stable computed form: 0 meV/atom
Mass density: 7.28 g/cm³
Calculated formation energy: -0.35 eV/atom
Crystal system: cubic
Raw total energy: -0.169 hartree per atom
Total magnetization: 0.000 μB per atom


8.
The following is a PBE calculation of a geometry-optimized Nd2Zn12Pd5 structure, from the Alexandria database.

POSCAR file:
```
Nd2Zn12Pd5
1.0
6.851 0.078 0.661
0.608 6.825 0.661
0.085 0.078 6.883
Pd Zn Nd
5 12 2
Cartesian
6.757 6.253 7.349 Pd
0.304 3.412 0.331 Pd
3.426 0.039 0.331 Pd
0.787 0.729 0.856 Pd
0.042 0.039 3.441 Pd
4.881 4.517 1.906 Zn
4.902 0.078 2.454 Zn
2.926 5.845 3.182 Zn
2.407 4.881 0.661 Zn
4.618 1.136 5.023 Zn
0.457 4.881 2.454 Zn
5.053 2.022 0.661 Zn
2.664 2.465 6.299 Zn
1.490 4.517 5.023 Zn
2.034 0.078 5.090 Zn
6.054 2.465 3.182 Zn
0.235 2.022 5.090 Zn
2.517 2.330 2.738 Nd
5.027 4.652 5.468 Nd
```

## Properties
Mass density: 8.31 g/cm³
Calculated formation energy: -0.43 eV/atom
Crystal system: trigonal
Raw total energy: -0.114 hartree per atom
Total magnetization: 0.000 μB per atom


9.
The following is a PBE calculation of a geometry-optimized NdZnPd2 structure, from the Alexandria database.

POSCAR file:
```
NdZnPd2
1.0
-1.187 -1.641 2.710
2.985 0.390 1.544
-2.082 5.755 2.572
Zn Pd Nd
1 2 1
Cartesian
0.899 -0.625 2.127 Zn
-1.651 4.562 2.039 Pd
-0.432 1.193 0.533 Pd
-0.142 2.252 3.413 Nd
```

## Properties
Mass density: 9.23 g/cm³
Calculated formation energy: -0.58 eV/atom
Crystal system: tetragonal
Raw total energy: -0.172 hartree per atom
Total magnetization: 0.000 μB per atom


10.
The following is a PBE calculation of a geometry-optimized Nd2Zn3Pd5 structure, from the Alexandria database.

POSCAR file:
```
Nd2Zn3Pd5
1.0
4.211 0.000 -0.717
0.000 6.907 0.000
-0.006 0.000 12.682
Nd Pd Zn
4 10 6
Cartesian
0.739 5.385 4.339 Nd
3.466 1.931 7.626 Nd
2.217 1.509 0.293 Nd
1.988 4.963 11.672 Nd
0.247 3.695 1.448 Pd
3.068 3.657 5.293 Pd
2.509 5.703 2.009 Pd
3.958 0.242 10.517 Pd
2.924 0.756 4.448 Pd
1.137 0.203 6.672 Pd
3.707 4.698 9.040 Pd
1.696 2.249 9.956 Pd
0.498 1.244 2.925 Pd
1.281 4.209 7.517 Pd
1.554 6.493 9.125 Zn
3.301 5.772 6.660 Zn
0.188 6.293 1.101 Zn
0.904 2.318 5.305 Zn
4.017 2.840 10.864 Zn
2.651 3.040 2.840 Zn
```

## Properties
Offset from the most stable computed form: 15 meV/atom
Mass density: 9.15 g/cm³
Calculated formation energy: -0.63 eV/atom
Crystal system: orthorhombic
Raw total energy: -0.168 hartree per atom
Total magnetization: 0.000 μB per atom


11.
The following is a PBE calculation of a geometry-optimized NdZnPd3 structure, from the Alexandria database.

POSCAR file:
```
NdZnPd3
1.0
5.146 0.000 0.000
0.000 7.934 -0.723
0.000 -4.236 6.747
Pd Nd Zn
6 2 2
Cartesian
1.287 1.940 1.384 Pd
1.287 3.342 3.668 Pd
0.000 0.000 0.000 Pd
3.860 1.758 4.640 Pd
2.573 0.000 0.000 Pd
3.860 0.356 2.357 Pd
1.287 0.435 3.880 Nd
3.860 3.262 2.145 Nd
1.287 -2.280 5.546 Zn
3.860 5.977 0.478 Zn
```

## Properties
Offset from the most stable computed form: 357 meV/atom
Mass density: 6.76 g/cm³
Calculated formation energy: -0.17 eV/atom
Crystal system: orthorhombic
Raw total energy: -0.165 hartree per atom
Total magnetization: 0.000 μB per atom


12.
The following is a PBE calculation of a geometry-optimized Nd3Zn5Pd2 structure, from the Alexandria database.

POSCAR file:
```
Nd3Zn5Pd2
1.0
6.140 0.000 0.000
3.070 8.255 -1.129
3.070 1.102 8.259
Zn Pd Nd
10 4 6
Cartesian
4.605 6.904 5.260 Zn
7.675 6.904 5.260 Zn
4.605 2.454 1.870 Zn
6.140 6.766 3.160 Zn
9.210 4.842 5.685 Zn
7.675 4.679 3.565 Zn
6.140 2.592 3.970 Zn
4.605 4.679 3.565 Zn
3.070 4.515 1.445 Zn
7.675 2.454 1.870 Zn
6.140 0.828 5.835 Pd
3.070 5.846 -0.750 Pd
9.210 3.512 7.880 Pd
6.140 8.529 1.295 Pd
1.535 0.000 0.000 Nd
9.210 7.522 2.308 Nd
6.140 4.221 6.640 Nd
6.140 5.137 0.490 Nd
4.605 0.000 0.000 Nd
3.070 1.835 4.822 Nd
```

## Properties
Mass density: 7.58 g/cm³
Calculated formation energy: -0.41 eV/atom
Crystal system: orthorhombic
Raw total energy: -0.129 hartree per atom
Total magnetization: 0.000 μB per atom


13.
The following is a PBE calculation of a geometry-optimized Nd3Zn3Pd2 structure, from the Alexandria database.

POSCAR file:
```
Nd3Zn3Pd2
1.0
5.635 0.000 0.000
0.000 7.956 0.000
0.000 0.000 16.083
Nd Pd Zn
12 8 12
Cartesian
2.131 7.635 1.690 Nd
0.686 3.657 1.690 Nd
3.504 0.321 14.393 Nd
4.913 6.629 4.021 Nd
4.948 4.299 9.731 Nd
0.722 1.327 12.062 Nd
2.131 7.635 6.352 Nd
2.096 5.305 12.062 Nd
3.539 2.651 4.021 Nd
3.504 0.321 9.731 Nd
4.948 4.299 14.393 Nd
0.686 3.657 6.352 Nd
4.933 0.873 1.811 Pd
2.115 3.105 14.272 Pd
2.115 3.105 9.852 Pd
0.702 7.083 14.272 Pd
0.702 7.083 9.852 Pd
3.519 4.851 6.230 Pd
3.519 4.851 1.811 Pd
4.933 0.873 6.230 Pd
0.566 1.435 8.583 Zn
5.068 6.522 0.541 Zn
3.545 2.566 12.062 Zn
0.728 1.412 4.021 Zn
3.384 2.544 7.500 Zn
2.089 5.391 4.021 Zn
2.251 5.413 8.583 Zn
4.907 6.544 12.062 Zn
3.384 2.544 0.541 Zn
2.251 5.413 15.541 Zn
0.566 1.435 15.541 Zn
5.068 6.522 7.500 Zn
```

## Properties
Mass density: 7.76 g/cm³
Calculated formation energy: -0.56 eV/atom
Crystal system: orthorhombic
Raw total energy: -0.152 hartree per atom
Total magnetization: 0.000 μB per atom


14.
The following is a PBE calculation of a geometry-optimized Nd5ZnPd2 structure, from the Alexandria database.

POSCAR file:
```
Nd5ZnPd2
1.0
-4.704 -1.679 -6.397
6.435 0.649 -4.902
0.383 -5.961 6.431
Pd Nd Zn
4 10 2
Cartesian
-2.130 -0.972 -4.648 Pd
-0.057 -1.056 -8.656 Pd
1.788 0.026 -2.643 Pd
3.861 -0.059 -6.651 Pd
2.643 -2.432 -8.117 Nd
3.857 -1.707 -4.052 Nd
-1.406 -3.053 -6.796 Nd
-1.743 -5.284 -0.816 Nd
-0.529 -4.559 3.249 Nd
3.520 -3.938 1.929 Nd
0.866 -0.515 -5.649 Nd
-0.192 -2.328 -2.732 Nd
0.000 0.000 0.000 Nd
2.306 -4.663 -2.136 Nd
1.490 -3.753 -5.258 Zn
0.624 -3.238 0.391 Zn
```

## Properties
Mass density: 7.59 g/cm³
Calculated formation energy: -0.44 eV/atom
Crystal system: tetragonal
Raw total energy: -0.179 hartree per atom
Total magnetization: 0.000 μB per atom


15.
The following is a PBE calculation of a geometry-optimized NdZn10Pd2 structure, from the Alexandria database.

POSCAR file:
```
NdZn10Pd2
1.0
5.451 0.000 0.000
2.725 6.366 0.000
2.725 0.000 6.174
Nd Zn Pd
1 10 2
Cartesian
0.000 0.000 0.000 Nd
2.725 4.101 2.142 Zn
5.451 4.969 1.357 Zn
8.176 2.264 4.032 Zn
1.363 0.000 3.087 Zn
5.451 4.101 4.032 Zn
5.451 2.264 2.142 Zn
4.088 0.000 3.087 Zn
5.451 1.397 4.817 Zn
8.176 4.969 4.817 Zn
2.725 1.397 1.357 Zn
4.088 3.183 0.000 Pd
1.363 3.183 0.000 Pd
```

## Properties
Mass density: 7.84 g/cm³
Calculated formation energy: -0.30 eV/atom
Crystal system: orthorhombic
Raw total energy: -0.090 hartree per atom
Total magnetization: 0.000 μB per atom


16.
The following is a PBE calculation of a geometry-optimized Nd2ZnPd3 structure, from the Alexandria database.

POSCAR file:
```
Nd2ZnPd3
1.0
-3.497 4.270 -1.868
-3.874 -4.104 1.452
3.339 2.821 7.494
Zn Nd Pd
2 4 6
Cartesian
-3.801 1.049 2.215 Zn
-0.231 1.938 4.862 Zn
-1.822 0.041 -0.103 Nd
-1.922 3.587 2.709 Nd
-2.110 -0.600 4.368 Nd
-5.549 0.125 -0.314 Nd
-0.120 1.005 2.522 Pd
-0.196 4.425 5.232 Pd
-3.912 1.982 4.555 Pd
-3.836 -1.438 1.845 Pd
-0.378 0.385 6.834 Pd
-3.654 2.602 0.243 Pd
```

## Properties
Offset from the most stable computed form: 0 meV/atom
Mass density: 8.56 g/cm³
Calculated formation energy: -0.71 eV/atom
Crystal system: orthorhombic
Raw total energy: -0.188 hartree per atom
Total magnetization: 0.000 μB per atom


17.
The following is a PBE calculation of a geometry-optimized NdZn6Pd6 structure, from the Alexandria database.

POSCAR file:
```
NdZn6Pd6
1.0
-1.496 4.661 -1.870
-6.419 1.549 1.654
1.236 5.088 4.350
Pd Zn Nd
6 6 1
Cartesian
-2.761 5.339 0.830 Pd
-3.919 5.960 3.304 Pd
-1.401 3.869 3.421 Pd
-5.228 8.591 3.567 Pd
-1.452 2.708 0.568 Pd
-3.782 2.768 2.583 Pd
-3.210 0.774 0.827 Zn
-3.958 3.105 -0.108 Zn
-0.130 4.875 1.240 Zn
0.618 2.544 2.175 Zn
-1.337 6.575 2.773 Zn
-5.343 4.723 1.362 Zn
0.000 0.000 0.000 Nd
```

## Properties
Mass density: 9.43 g/cm³
Calculated formation energy: -0.54 eV/atom
Crystal system: orthorhombic
Raw total energy: -0.143 hartree per atom
Total magnetization: 0.000 μB per atom


18.
The following is a PBE calculation of a geometry-optimized NdZn2Pd2 structure, from the Alexandria database.

POSCAR file:
```
NdZn2Pd2
1.0
4.110 0.000 -0.885
-0.191 4.105 -0.885
0.283 0.296 11.296
Pd Zn Nd
4 4 2
Cartesian
3.895 4.080 8.101 Pd
3.176 1.174 4.763 Pd
0.307 0.321 1.425 Pd
1.026 3.227 4.763 Pd
2.055 0.000 -0.443 Zn
-0.095 2.053 -0.443 Zn
3.380 3.541 5.712 Zn
0.821 0.860 3.814 Zn
1.667 1.746 7.741 Nd
2.535 2.655 1.785 Nd
```

## Properties
Offset from the most stable computed form: 5 meV/atom
Mass density: 8.41 g/cm³
Calculated formation energy: -0.61 eV/atom
Crystal system: tetragonal
Raw total energy: -0.152 hartree per atom
Total magnetization: 0.000 μB per atom